No. 1
# La2ZrIr, optimized geometry, DFT PBEsol
# Energy = -7.48 eV/atom
# ΔE_f = -0.07 eV/atom
data_La2ZrIr
_chemical_formula_sum 'La8 Zr4 Ir4'
_cell_length_a 7.089
_cell_length_b 7.089
_cell_length_c 7.089
_cell_angle_alpha 90.00
_cell_angle_beta 90.00
_cell_angle_gamma 90.00
_symmetry_space_group_name_H-M 'F -4 3 m'
_symmetry_Int_Tables_number 216
_symmetry_space_group_name_Hall 'F -4 2 3'
loop_
_atom_site_label
_atom_site_type_symbol
_atom_site_fract_x
_atom_site_fract_y
_atom_site_fract_z
_atom_site_occupancy
La1 La 0.000 0.000 0.000 1
La2 La 0.250 0.250 0.250 1
Zr1 Zr 0.000 0.000 0.500 1
Ir1 Ir 0.250 0.250 0.750 1

No. 2
# La2ZrIr, optimized geometry, DFT PBEsol
# Energy = -7.68 eV/atom
# ΔE_f = -0.28 eV/atom
data_La2ZrIr
_chemical_formula_sum 'La4 Zr2 Ir2'
_cell_length_a 11.895
_cell_length_b 3.580
_cell_length_c 5.359
_cell_angle_alpha 90.00
_cell_angle_beta 116.29
_cell_angle_gamma 90.00
_symmetry_space_group_name_H-M 'C 1 m 1'
_symmetry_Int_Tables_number 8
_symmetry_space_group_name_Hall 'C -2y'
loop_
_atom_site_label
_atom_site_type_symbol
_atom_site_fract_x
_atom_site_fract_y
_atom_site_fract_z
_atom_site_occupancy
La1 La 0.000 0.000 0.000 1
La2 La 0.208 0.000 0.711 1
Zr1 Zr 0.301 0.500 0.304 1
Ir1 Ir 0.479 0.000 0.472 1

No. 3
# LaZr2Ir, optimized geometry, DFT PBEsol
# Energy = -8.63 eV/atom
# ΔE_f = -0.29 eV/atom
data_LaZr2Ir
_chemical_formula_sum 'La1 Zr2 Ir1'
_cell_length_a 3.246
_cell_length_b 3.246
_cell_length_c 8.596
_cell_angle_alpha 90.00
_cell_angle_beta 90.00
_cell_angle_gamma 90.00
_symmetry_space_group_name_H-M 'P 4 m m'
_symmetry_Int_Tables_number 99
_symmetry_space_group_name_Hall 'P 4 -2'
loop_
_atom_site_label
_atom_site_type_symbol
_atom_site_fract_x
_atom_site_fract_y
_atom_site_fract_z
_atom_site_occupancy
La1 La 0.000 0.000 0.000 1
Zr1 Zr 0.000 0.000 0.579 1
Zr2 Zr 0.500 0.500 0.337 1
Ir1 Ir 0.500 0.500 0.753 1

No. 4
# LaZr2Ir, optimized geometry, DFT PBEsol
# Energy = -8.35 eV/atom
# ΔE_f = -0.01 eV/atom
data_LaZr2Ir
_chemical_formula_sum 'La2 Zr4 Ir2'
_cell_length_a 4.108
_cell_length_b 4.108
_cell_length_c 9.911
_cell_angle_alpha 90.00
_cell_angle_beta 90.00
_cell_angle_gamma 90.00
_symmetry_space_group_name_H-M 'I -4 m 2'
_symmetry_Int_Tables_number 119
_symmetry_space_group_name_Hall 'I -4 -2'
loop_
_atom_site_label
_atom_site_type_symbol
_atom_site_fract_x
_atom_site_fract_y
_atom_site_fract_z
_atom_site_occupancy
La1 La 0.000 0.000 0.000 1
Zr1 Zr 0.000 0.000 0.500 1
Zr2 Zr 0.000 0.500 0.250 1
Ir1 Ir 0.000 0.500 0.750 1

No. 5
# La3ZrIr, optimized geometry, DFT PBEsol
# Energy = -6.85 eV/atom
# ΔE_f = 0.14 eV/atom
data_La3ZrIr
_chemical_formula_sum 'La3 Zr1 Ir1'
_cell_length_a 5.525
_cell_length_b 5.525
_cell_length_c 5.525
_cell_angle_alpha 90.00
_cell_angle_beta 90.00
_cell_angle_gamma 90.00
_symmetry_space_group_name_H-M 'P m -3 m'
_symmetry_Int_Tables_number 221
_symmetry_space_group_name_Hall '-P 4 2 3'
loop_
_atom_site_label
_atom_site_type_symbol
_atom_site_fract_x
_atom_site_fract_y
_atom_site_fract_z
_atom_site_occupancy
La1 La 0.000 0.000 0.500 1
Zr1 Zr 0.500 0.500 0.500 1
Ir1 Ir 0.000 0.000 0.000 1

No. 6
# LiIr2, optimized geometry, DFT PBEsol
# Energy = -7.18 eV/atom
# ΔE_f = 0.02 eV/atom
data_LiIr2
_chemical_formula_sum 'Li4 Ir8'
_cell_length_a 2.692
_cell_length_b 13.703
_cell_length_c 4.266
_cell_angle_alpha 90.00
_cell_angle_beta 90.00
_cell_angle_gamma 90.00
_symmetry_space_group_name_H-M 'C m c m'
_symmetry_Int_Tables_number 63
_symmetry_space_group_name_Hall '-C 2c 2'
loop_
_atom_site_label
_atom_site_type_symbol
_atom_site_fract_x
_atom_site_fract_y
_atom_site_fract_z
_atom_site_occupancy
Li1 Li 0.000 0.111 0.250 1
Ir1 Ir 0.000 0.217 0.750 1
Ir2 Ir 0.000 0.447 0.250 1